(1)
! KNbBiO4 PBE optimized geometry; values from VASP
! * crystal system: orthorhombic
! * uncorrected energy: -95.15 eV for the cell shown
! * magnetic moment: 0.000 μB/atom
&SYSTEM
  ibrav = 0, nat = 14, ntyp = 4
/
ATOMIC_SPECIES
K 39.10 K.upf
Nb 92.91 Nb.upf
Bi 208.98 Bi.upf
O 16.00 O.upf
ATOMIC_POSITIONS crystal
K 0.500 0.500 0.500
K 0.500 0.500 0.000
Nb 0.128 0.872 0.250
Nb 0.872 0.128 0.750
Bi 0.807 0.193 0.250
Bi 0.193 0.807 0.750
O 0.213 0.193 0.750
O 0.807 0.787 0.750
O 0.774 0.226 0.951
O 0.774 0.226 0.549
O 0.226 0.774 0.049
O 0.226 0.774 0.451
O 0.787 0.807 0.250
O 0.193 0.213 0.250
CELL_PARAMETERS angstrom
6.088 -0.068 0.000
-2.507 5.548 0.000
0.000 0.000 7.821


(2)
! K4Nb3BiO12 PBE optimized geometry; values from VASP
! * crystal system: cubic
! * uncorrected energy: -139.74 eV for the cell shown
! * magnetic moment: 0.000 μB/atom
&SYSTEM
  ibrav = 0, nat = 20, ntyp = 4
/
ATOMIC_SPECIES
K 39.10 K.upf
Nb 92.91 Nb.upf
Bi 208.98 Bi.upf
O 16.00 O.upf
ATOMIC_POSITIONS crystal
K 0.500 0.500 0.500
K 0.000 0.000 0.500
K 0.500 0.000 0.000
K 0.000 0.500 0.000
Nb 0.500 0.000 0.500
Nb 0.500 0.500 0.000
Nb 0.000 0.500 0.500
Bi 0.000 0.000 0.000
O 0.250 0.500 0.750
O 0.742 0.000 0.742
O 0.258 0.000 0.258
O 0.750 0.500 0.250
O 0.742 0.742 0.000
O 0.258 0.258 0.000
O 0.750 0.250 0.500
O 0.250 0.750 0.500
O 0.500 0.250 0.750
O 0.000 0.742 0.742
O 0.500 0.750 0.250
O 0.000 0.258 0.258
CELL_PARAMETERS angstrom
7.100 0.000 0.000
-2.367 6.694 0.000
-2.367 -3.347 5.797


(3)
! K3Nb2BiO9 PBE optimized geometry; values from VASP
! * crystal system: trigonal
! * uncorrected energy: -101.60 eV for the cell shown
! * magnetic moment: 0.000 μB/atom
&SYSTEM
  ibrav = 0, nat = 15, ntyp = 4
/
ATOMIC_SPECIES
K 39.10 K.upf
Nb 92.91 Nb.upf
Bi 208.98 Bi.upf
O 16.00 O.upf
ATOMIC_POSITIONS crystal
K 0.333 0.667 0.666
K 0.000 0.000 0.000
K 0.667 0.333 0.334
Nb 0.333 0.667 0.161
Nb 0.667 0.333 0.839
Bi 0.000 0.000 0.500
O 0.829 0.171 0.675
O 0.829 0.657 0.675
O 0.343 0.171 0.675
O 0.657 0.829 0.325
O 0.171 0.343 0.325
O 0.171 0.829 0.325
O 0.500 0.000 0.000
O 0.000 0.500 0.000
O 0.500 0.500 0.000
CELL_PARAMETERS angstrom
-2.484 -0.162 -5.260
-3.016 -1.653 4.694
-2.301 6.695 0.880


(4)
! K2NbBiO6 PBE optimized geometry; values from VASP
! * crystal system: cubic
! * uncorrected energy: -63.38 eV for the cell shown
! * magnetic moment: 0.000 μB/atom
&SYSTEM
  ibrav = 0, nat = 10, ntyp = 4
/
ATOMIC_SPECIES
K 39.10 K.upf
Nb 92.91 Nb.upf
Bi 208.98 Bi.upf
O 16.00 O.upf
ATOMIC_POSITIONS crystal
K 0.250 0.750 0.500
K 0.750 0.250 0.500
Nb 0.500 0.500 0.000
Bi 0.000 0.000 0.000
O 0.257 0.742 0.000
O 0.742 0.743 0.000
O 0.258 0.257 0.485
O 0.743 0.258 0.000
O 0.258 0.257 0.000
O 0.742 0.743 0.515
CELL_PARAMETERS angstrom
5.867 0.000 0.000
0.000 5.867 0.000
2.934 2.933 4.149


(5)
! KNb2BiO PBE optimized geometry; values from VASP
! * crystal system: tetragonal
! * uncorrected energy: -21.05 eV for the cell shown
! * magnetic moment: 0.858 μB/atom
&SYSTEM
  ibrav = 0, nat = 5, ntyp = 4
/
ATOMIC_SPECIES
K 39.10 K.upf
Nb 92.91 Nb.upf
Bi 208.98 Bi.upf
O 16.00 O.upf
ATOMIC_POSITIONS crystal
K 0.000 0.000 0.000
Nb 0.000 0.000 0.500
Nb 0.500 0.000 0.000
Bi 0.500 0.500 0.500
O 0.000 0.500 0.000
CELL_PARAMETERS angstrom
-1.173 4.732 -1.908
-1.757 -1.810 -3.408
-4.618 -0.152 2.461


(6)
! KZrNbBiO6 PBE optimized geometry; values from VASP
! * crystal system: cubic
! * uncorrected energy: -75.72 eV for the cell shown
! * magnetic moment: 0.000 μB/atom
&SYSTEM
  ibrav = 0, nat = 10, ntyp = 5
/
ATOMIC_SPECIES
K 39.10 K.upf
Zr 91.22 Zr.upf
Nb 92.91 Nb.upf
Bi 208.98 Bi.upf
O 16.00 O.upf
ATOMIC_POSITIONS crystal
K 0.750 0.750 0.750
Zr 0.500 0.500 0.500
Nb 0.000 0.000 0.000
Bi 0.250 0.250 0.250
O 0.244 0.756 0.244
O 0.756 0.244 0.756
O 0.244 0.756 0.756
O 0.756 0.244 0.244
O 0.244 0.244 0.756
O 0.756 0.756 0.244
CELL_PARAMETERS angstrom
-3.776 -2.594 3.637
-5.672 1.418 -0.175
-3.908 -3.824 -2.080


(7)
! KNb2BiPb PBE optimized geometry; values from VASP
! * crystal system: tetragonal
! * DFT formation energy: 1.332 eV per atom
! * magnetic moment: 0.786 μB/atom
&SYSTEM
  ibrav = 0, nat = 5, ntyp = 4
/
ATOMIC_SPECIES
Pb 207.20 Pb.upf
Nb 92.91 Nb.upf
K 39.10 K.upf
Bi 208.98 Bi.upf
ATOMIC_POSITIONS crystal
Pb 0.500 0.500 0.500
Nb 0.000 0.000 0.500
Nb 0.500 0.000 0.000
K 0.000 0.500 0.000
Bi 0.000 0.000 0.000
CELL_PARAMETERS angstrom
-2.756 3.363 3.220
-4.525 0.106 -3.984
-2.279 -4.237 2.476


(8)
! KNbBi2Pd PBE optimized geometry; values from VASP
! * crystal system: tetragonal
! * DFT formation energy: 0.554 eV per atom
! * magnetic moment: 0.579 μB/atom
&SYSTEM
  ibrav = 0, nat = 5, ntyp = 4
/
ATOMIC_SPECIES
K 39.10 K.upf
Nb 92.91 Nb.upf
Bi 208.98 Bi.upf
Pd 106.42 Pd.upf
ATOMIC_POSITIONS crystal
K 0.500 0.500 0.500
Nb 0.000 0.500 0.000
Bi 0.000 0.000 0.500
Bi 0.500 0.000 0.000
Pd 0.000 0.000 0.000
CELL_PARAMETERS angstrom
-2.718 -3.721 -3.078
4.111 -3.177 0.211
-2.032 -2.324 4.602


(9)
! K2NbBiS4 PBE optimized geometry; values from VASP
! * crystal system: tetragonal
! * uncorrected energy: -39.48 eV for the cell shown
! * magnetic moment: 0.000 μB/atom
&SYSTEM
  ibrav = 0, nat = 8, ntyp = 4
/
ATOMIC_SPECIES
K 39.10 K.upf
Nb 92.91 Nb.upf
Bi 208.98 Bi.upf
S 32.06 S.upf
ATOMIC_POSITIONS crystal
K 0.500 0.750 0.250
K 0.000 0.000 0.000
Nb 0.000 0.500 0.500
Bi 0.500 0.250 0.750
S 0.662 0.479 0.514
S 0.034 0.183 0.521
S 0.966 0.486 0.148
S 0.338 0.852 0.817
CELL_PARAMETERS angstrom
6.818 0.391 0.599
-2.551 6.335 -0.599
-2.551 -3.098 5.558


(10)
! K3NbBi3S8 PBE optimized geometry; values from VASP
! * crystal system: monoclinic
! * uncorrected energy: -70.10 eV for the cell shown
! * magnetic moment: 0.068 μB/atom
&SYSTEM
  ibrav = 0, nat = 15, ntyp = 4
/
ATOMIC_SPECIES
K 39.10 K.upf
Nb 92.91 Nb.upf
Bi 208.98 Bi.upf
S 32.06 S.upf
ATOMIC_POSITIONS crystal
K 0.000 0.000 0.000
K 0.000 0.500 0.000
K 0.500 0.500 0.000
Nb 0.000 0.000 0.500
Bi 0.500 0.000 0.500
Bi 0.500 0.500 0.500
Bi 0.000 0.500 0.500
S 0.262 0.524 0.286
S 0.738 0.476 0.714
S 0.786 0.573 0.312
S 0.214 0.427 0.688
S 0.786 0.025 0.312
S 0.214 0.975 0.688
S 0.239 0.025 0.312
S 0.761 0.975 0.688
CELL_PARAMETERS angstrom
8.098 -0.006 -0.002
-4.054 7.031 -0.027
0.001 -4.660 7.520


(11)
! KSrNbBi2 PBE optimized geometry; values from VASP
! * crystal system: tetragonal
! * DFT formation energy: 1.498 eV per atom
! * magnetic moment: 0.086 μB/atom
&SYSTEM
  ibrav = 0, nat = 5, ntyp = 4
/
ATOMIC_SPECIES
K 39.10 K.upf
Sr 87.62 Sr.upf
Nb 92.91 Nb.upf
Bi 208.98 Bi.upf
ATOMIC_POSITIONS crystal
K 0.000 0.000 0.000
Sr 0.000 0.500 0.000
Nb 0.500 0.500 0.500
Bi 0.000 0.000 0.500
Bi 0.500 0.000 0.000
CELL_PARAMETERS angstrom
-3.442 3.402 3.337
-4.389 -1.849 -2.643
-0.518 -4.359 3.909


(12)
! K2Nd2BiO6 PBE optimized geometry; values from VASP
! * crystal system: monoclinic
! * uncorrected energy: -69.12 eV for the cell shown
! * magnetic moment: 0.077 μB/atom
&SYSTEM
  ibrav = 0, nat = 11, ntyp = 4
/
ATOMIC_SPECIES
K 39.10 K.upf
Nd 144.24 Nd.upf
Bi 208.98 Bi.upf
O 16.00 O.upf
ATOMIC_POSITIONS crystal
K 0.838 0.162 0.000
K 0.162 0.838 0.000
Nd 0.335 0.665 0.500
Nd 0.665 0.335 0.500
Bi 0.000 0.000 0.500
O 0.744 0.744 0.683
O 0.048 0.380 0.681
O 0.256 0.256 0.317
O 0.380 0.048 0.681
O 0.952 0.620 0.319
O 0.620 0.952 0.319
CELL_PARAMETERS angstrom
-2.229 2.114 -5.408
4.291 -4.502 0.034
-5.289 -3.704 1.833